Entry 1:
! CsYTaMo2 (PBE, relaxed); values from VASP
&SYSTEM
  ibrav = 0, nat = 5, ntyp = 4
/
ATOMIC_SPECIES
Cs 132.91 Cs.upf
Y 88.91 Y.upf
Mo 95.94 Mo.upf
Ta 180.95 Ta.upf
CELL_PARAMETERS angstrom
-0.269 -5.423 -0.424
2.900 -0.492 4.449
-4.563 -0.006 2.974
ATOMIC_POSITIONS crystal
Cs 0.500 0.500 0.500
Y 0.000 0.000 0.000
Mo 0.000 0.000 0.500
Mo 0.500 0.000 0.000
Ta 0.000 0.500 0.000
! Final energy   -5.606 eV/atom
! Space group   P4/mmm
! Energy of formation from the pure elements   2561 meV/atom

Entry 2:
! LiTbLuRe (PBE, relaxed); values from VASP
&SYSTEM
  ibrav = 0, nat = 4, ntyp = 4
/
ATOMIC_SPECIES
Re 186.21 Re.upf
Lu 174.97 Lu.upf
Tb 158.93 Tb.upf
Li 6.94 Li.upf
CELL_PARAMETERS angstrom
4.888 0.000 0.000
2.444 4.233 0.000
2.444 1.411 3.991
ATOMIC_POSITIONS crystal
Re 0.000 0.000 0.000
Lu 0.750 0.750 0.750
Tb 0.250 0.250 0.250
Li 0.500 0.500 0.500
! Final energy   -5.832 eV/atom
! Space group   F-43m
! Energy of formation from the pure elements   47 meV/atom

Entry 3:
! Zn2RhBr (PBE, relaxed); values from VASP
&SYSTEM
  ibrav = 0, nat = 4, ntyp = 3
/
ATOMIC_SPECIES
Br 79.90 Br.upf
Rh 102.91 Rh.upf
Zn 65.41 Zn.upf
CELL_PARAMETERS angstrom
-2.790 -0.860 1.331
-0.174 -2.523 -1.996
3.478 -3.980 4.720
ATOMIC_POSITIONS crystal
Br 0.500 0.250 0.250
Rh 0.500 0.750 0.750
Zn 0.000 0.250 0.941
Zn 0.000 0.250 0.559
! Final energy   -3.104 eV/atom
! Space group   Pmmm

Entry 4:
! MnReMo3 (PBE, relaxed); values from VASP
&SYSTEM
  ibrav = 0, nat = 5, ntyp = 3
/
ATOMIC_SPECIES
Re 186.21 Re.upf
Mo 95.94 Mo.upf
Mn 54.94 Mn.upf
CELL_PARAMETERS angstrom
-3.688 2.108 1.094
-1.636 -3.719 1.653
1.722 0.982 3.913
ATOMIC_POSITIONS crystal
Re 0.500 0.500 0.500
Mo 0.000 0.500 0.000
Mo 0.000 0.000 0.500
Mo 0.500 0.000 0.000
Mn 0.000 0.000 0.000
! Final energy   -9.537 eV/atom
! Space group   Pm-3m
! Energy of formation from the pure elements   1285 meV/atom

Entry 5:
! Tm3Si4Au (PBE, relaxed); values from VASP
&SYSTEM
  ibrav = 0, nat = 8, ntyp = 3
/
ATOMIC_SPECIES
Tm 168.93 Tm.upf
Si 28.09 Si.upf
Au 196.97 Au.upf
CELL_PARAMETERS angstrom
4.142 0.000 0.000
0.000 5.722 0.000
-2.071 -2.861 7.312
ATOMIC_POSITIONS crystal
Tm 0.193 0.193 0.386
Tm 0.807 0.807 0.614
Tm 0.000 0.500 0.000
Si 0.376 0.579 0.752
Si 0.624 0.421 0.248
Si 0.624 0.828 0.248
Si 0.376 0.172 0.752
Au 0.500 0.000 0.000
! Final energy   -5.344 eV/atom
! Space group   Immm

Entry 6:
! ZrRe4Rh (PBE, relaxed); values from VASP
&SYSTEM
  ibrav = 0, nat = 6, ntyp = 3
/
ATOMIC_SPECIES
Zr 91.22 Zr.upf
Re 186.21 Re.upf
Rh 102.91 Rh.upf
CELL_PARAMETERS angstrom
0.000 3.688 3.688
3.688 0.000 3.688
3.688 3.688 0.000
ATOMIC_POSITIONS crystal
Zr 0.000 0.000 0.000
Re 0.874 0.375 0.375
Re 0.375 0.375 0.874
Re 0.375 0.874 0.375
Re 0.375 0.375 0.375
Rh 0.750 0.750 0.750
! Final energy   -10.944 eV/atom
! Space group   F-43m
! Energy of formation from the pure elements   4 meV/atom

Entry 7:
! NaScSbW2 (PBE, relaxed); values from VASP
&SYSTEM
  ibrav = 0, nat = 5, ntyp = 4
/
ATOMIC_SPECIES
Sc 44.96 Sc.upf
Sb 121.76 Sb.upf
W 183.84 W.upf
Na 22.99 Na.upf
CELL_PARAMETERS angstrom
-4.388 -1.040 1.714
0.815 -5.219 -1.081
1.867 -0.620 4.405
ATOMIC_POSITIONS crystal
Sc 0.000 0.000 0.000
Sb 0.000 0.500 0.000
W 0.000 0.000 0.500
W 0.500 0.000 0.000
Na 0.500 0.500 0.500
! Final energy   -5.686 eV/atom
! Space group   P4/mmm

Entry 8:
! Tc2TeCl (PBE, relaxed); values from VASP
&SYSTEM
  ibrav = 0, nat = 4, ntyp = 3
/
ATOMIC_SPECIES
Cl 35.45 Cl.upf
Tc 98.00 Tc.upf
Te 127.60 Te.upf
CELL_PARAMETERS angstrom
3.585 0.000 0.000
0.000 3.108 0.053
0.000 1.361 7.748
ATOMIC_POSITIONS crystal
Cl 0.500 0.906 0.826
Tc 0.000 0.804 0.058
Tc 0.500 0.175 0.204
Te 0.000 0.615 0.413
! Final energy   -6.344 eV/atom
! Space group   Pm

Entry 9:
! Rb2ZnNCl6 (PBE, relaxed); values from VASP
&SYSTEM
  ibrav = 0, nat = 10, ntyp = 4
/
ATOMIC_SPECIES
Zn 65.41 Zn.upf
N 14.01 N.upf
Rb 85.47 Rb.upf
Cl 35.45 Cl.upf
CELL_PARAMETERS angstrom
7.876 0.000 0.000
0.000 7.876 0.000
3.938 3.938 4.547
ATOMIC_POSITIONS crystal
Zn 0.000 0.000 0.000
N 0.500 0.500 0.000
Rb 0.750 0.250 0.500
Rb 0.250 0.750 0.500
Cl 0.302 0.302 0.396
Cl 0.698 0.698 0.604
Cl 0.213 0.213 0.000
Cl 0.787 0.787 0.000
Cl 0.787 0.213 0.000
Cl 0.213 0.787 0.000
! Final energy   -2.888 eV/atom
! Space group   I4/mmm

Entry 10:
! Cs2NbOsO6 (PBE, relaxed); values from VASP
&SYSTEM
  ibrav = 0, nat = 10, ntyp = 4
/
ATOMIC_SPECIES
Cs 132.91 Cs.upf
Nb 92.91 Nb.upf
Os 190.23 Os.upf
O 16.00 O.upf
CELL_PARAMETERS angstrom
5.524 0.000 0.000
0.000 5.524 0.000
-2.762 -2.762 6.012
ATOMIC_POSITIONS crystal
Cs 0.785 0.286 0.570
Cs 0.285 0.786 0.570
Nb 0.539 0.540 0.079
Os 0.024 0.025 0.048
O 0.751 0.751 0.000
O 0.690 0.690 0.379
O 0.249 0.250 0.000
O 0.751 0.250 0.000
O 0.176 0.177 0.353
O 0.249 0.751 0.000
! Final energy   -6.952 eV/atom
! Space group   I4mm

Entry 11:
! CeSi2PtRh2 (PBE, relaxed); values from VASP
&SYSTEM
  ibrav = 0, nat = 6, ntyp = 4
/
ATOMIC_SPECIES
Ce 140.12 Ce.upf
Si 28.09 Si.upf
Pt 195.08 Pt.upf
Rh 102.91 Rh.upf
CELL_PARAMETERS angstrom
4.539 0.000 0.000
0.000 4.539 0.000
0.000 0.000 5.564
ATOMIC_POSITIONS crystal
Ce 0.000 0.000 0.500
Si 0.500 0.000 0.000
Si 0.000 0.500 0.000
Pt 0.000 0.000 0.000
Rh 0.500 0.500 0.750
Rh 0.500 0.500 0.250
! Final energy   -6.616 eV/atom
! Space group   P4/mmm

Entry 12:
! FeGe2B (PBE, relaxed); values from VASP
&SYSTEM
  ibrav = 0, nat = 4, ntyp = 3
/
ATOMIC_SPECIES
Ge 72.64 Ge.upf
B 10.81 B.upf
Fe 55.84 Fe.upf
CELL_PARAMETERS angstrom
1.590 -2.644 2.774
-1.638 -0.249 3.804
-2.145 -3.371 1.119
ATOMIC_POSITIONS crystal
Ge 0.250 0.250 0.250
Ge 0.750 0.750 0.750
B 0.000 0.000 0.000
Fe 0.500 0.500 0.500
! Final energy   -5.167 eV/atom
! Space group   Fm-3m
! Energy of formation from the pure elements   927 meV/atom

Entry 13:
! Sr2MgSe (PBE, relaxed); values from VASP
&SYSTEM
  ibrav = 0, nat = 8, ntyp = 3
/
ATOMIC_SPECIES
Sr 87.62 Sr.upf
Mg 24.30 Mg.upf
Se 78.96 Se.upf
CELL_PARAMETERS angstrom
8.776 0.000 0.000
0.000 8.776 0.000
4.388 4.388 4.097
ATOMIC_POSITIONS crystal
Sr 0.673 0.125 0.250
Sr 0.077 0.625 0.250
Sr 0.375 0.327 0.750
Sr 0.875 0.923 0.750
Mg 0.500 0.500 0.000
Mg 0.250 0.750 0.500
Se 0.000 0.000 0.000
Se 0.750 0.250 0.500
! Final energy   -2.805 eV/atom
! Space group   I-42d

Entry 14:
! MnMo2Ru (PBE, relaxed); values from VASP
&SYSTEM
  ibrav = 0, nat = 4, ntyp = 3
/
ATOMIC_SPECIES
Mn 54.94 Mn.upf
Mo 95.94 Mo.upf
Ru 101.07 Ru.upf
CELL_PARAMETERS angstrom
-0.226 -1.640 -2.128
2.565 0.799 0.220
1.660 -6.699 4.987
ATOMIC_POSITIONS crystal
Mn 0.500 0.500 0.745
Mo 0.000 0.000 0.989
Mo 0.500 0.500 0.255
Ru 0.000 0.000 0.511
! Final energy   -9.872 eV/atom
! Space group   Cmm2
! Energy of formation from the pure elements   155 meV/atom

Entry 15:
! Zr2VNiN (PBE, relaxed); values from VASP
&SYSTEM
  ibrav = 0, nat = 5, ntyp = 4
/
ATOMIC_SPECIES
Ni 58.69 Ni.upf
N 14.01 N.upf
Zr 91.22 Zr.upf
V 50.94 V.upf
CELL_PARAMETERS angstrom
-4.209 -1.435 0.540
1.340 -2.673 3.336
-0.636 2.810 2.507
ATOMIC_POSITIONS crystal
Ni 0.500 0.500 0.500
N 0.000 0.000 0.000
Zr 0.000 0.500 0.000
Zr 0.500 0.000 0.000
V 0.000 0.000 0.500
! Final energy   -8.760 eV/atom
! Space group   P4/mmm

Entry 16:
! YbRe3O12 (PBE, relaxed); values from VASP
&SYSTEM
  ibrav = 0, nat = 32, ntyp = 3
/
ATOMIC_SPECIES
Yb 173.04 Yb.upf
Re 186.21 Re.upf
O 16.00 O.upf
CELL_PARAMETERS angstrom
10.368 0.000 0.000
-5.184 8.979 0.000
0.000 0.000 6.198
ATOMIC_POSITIONS crystal
Yb 0.667 0.333 0.750
Yb 0.333 0.667 0.250
Re 0.093 0.398 0.750
Re 0.398 0.305 0.250
Re 0.602 0.695 0.750
Re 0.907 0.602 0.250
Re 0.305 0.907 0.750
Re 0.695 0.093 0.250
O 0.488 0.650 0.519
O 0.350 0.839 0.519
O 0.845 0.729 0.250
O 0.116 0.845 0.750
O 0.271 0.116 0.250
O 0.155 0.271 0.750
O 0.512 0.350 0.019
O 0.884 0.155 0.250
O 0.103 0.696 0.250
O 0.161 0.512 0.981
O 0.161 0.512 0.519
O 0.897 0.304 0.750
O 0.304 0.406 0.250
O 0.696 0.594 0.750
O 0.839 0.488 0.481
O 0.406 0.103 0.750
O 0.650 0.161 0.019
O 0.488 0.650 0.981
O 0.350 0.839 0.981
O 0.650 0.161 0.481
O 0.512 0.350 0.481
O 0.839 0.488 0.019
O 0.729 0.884 0.750
O 0.594 0.897 0.250
! Final energy   -7.966 eV/atom
! Space group   P6_3/m

Entry 17:
! La3In3HgPb2 (PBE, relaxed); values from VASP
&SYSTEM
  ibrav = 0, nat = 9, ntyp = 4
/
ATOMIC_SPECIES
La 138.91 La.upf
In 114.82 In.upf
Hg 200.59 Hg.upf
Pb 207.20 Pb.upf
CELL_PARAMETERS angstrom
4.646 0.000 0.000
0.000 8.148 0.000
0.000 -4.074 7.057
ATOMIC_POSITIONS crystal
La 0.000 0.000 0.391
La 0.000 0.609 0.609
La 0.000 0.391 0.000
In 0.500 0.755 0.000
In 0.500 0.245 0.245
In 0.500 0.000 0.755
Hg 0.000 0.000 0.000
Pb 0.500 0.333 0.667
Pb 0.500 0.667 0.333
! Final energy   -3.906 eV/atom
! Space group   P-62m
! Energy of formation from the pure elements   -493 meV/atom

Entry 18:
! Na5Ga2Bi4 (PBE, relaxed); values from VASP
&SYSTEM
  ibrav = 0, nat = 11, ntyp = 3
/
ATOMIC_SPECIES
Na 22.99 Na.upf
Ga 69.72 Ga.upf
Bi 208.98 Bi.upf
CELL_PARAMETERS angstrom
-3.149 0.697 1.596
3.942 -2.629 8.926
2.303 9.880 -3.828
ATOMIC_POSITIONS crystal
Na 0.833 0.080 0.667
Na 0.833 0.587 0.667
Na 0.167 0.413 0.333
Na 0.167 0.920 0.333
Na 0.500 0.000 0.000
Ga 0.430 0.430 0.861
Ga 0.570 0.570 0.139
Bi 0.000 0.274 0.000
Bi 0.722 0.722 0.445
Bi 0.000 0.726 0.000
Bi 0.278 0.278 0.555
! Final energy   -2.739 eV/atom
! Space group   Immm
! Energy of formation from the pure elements   -178 meV/atom

Entry 19:
! TcNiH2 (PBE, relaxed); values from VASP
&SYSTEM
  ibrav = 0, nat = 4, ntyp = 3
/
ATOMIC_SPECIES
Ni 58.69 Ni.upf
Tc 98.00 Tc.upf
H 1.01 H.upf
CELL_PARAMETERS angstrom
-2.692 -0.442 0.862
-0.571 -2.042 1.921
-0.480 2.293 4.427
ATOMIC_POSITIONS crystal
Ni 0.000 0.000 0.000
Tc 0.500 0.500 0.500
H 0.112 0.112 0.665
H 0.888 0.888 0.335
! Final energy   -5.515 eV/atom
! Space group   R-3m

Entry 20:
! Pt2RhBr (PBE, relaxed); values from VASP
&SYSTEM
  ibrav = 0, nat = 4, ntyp = 3
/
ATOMIC_SPECIES
Rh 102.91 Rh.upf
Br 79.90 Br.upf
Pt 195.08 Pt.upf
CELL_PARAMETERS angstrom
-2.092 8.963 5.576
-0.745 7.576 7.606
0.704 9.078 5.735
ATOMIC_POSITIONS crystal
Rh 0.250 0.250 0.250
Br 0.750 0.750 0.750
Pt 0.986 0.986 0.986
Pt 0.514 0.514 0.514
! Final energy   -4.841 eV/atom
! Space group   R-3m

Entry 21:
! NdTlCd11 (PBE, relaxed); values from VASP
&SYSTEM
  ibrav = 0, nat = 13, ntyp = 3
/
ATOMIC_SPECIES
Nd 144.24 Nd.upf
Tl 204.38 Tl.upf
Cd 112.41 Cd.upf
CELL_PARAMETERS angstrom
5.673 0.037 2.363
2.816 7.125 1.173
0.110 0.019 7.727
ATOMIC_POSITIONS crystal
Nd 0.000 0.000 0.000
Tl 0.500 0.500 0.000
Cd 0.276 0.207 0.212
Cd 0.724 0.793 0.788
Cd 0.512 0.793 0.212
Cd 0.488 0.207 0.788
Cd 0.345 0.651 0.642
Cd 0.655 0.349 0.358
Cd 0.014 0.349 0.642
Cd 0.986 0.651 0.358
Cd 0.000 0.500 0.000
Cd 0.500 0.000 0.500
Cd 0.000 0.000 0.500
! Final energy   -1.386 eV/atom
! Space group   C2/m
! Energy of formation from the pure elements   -63 meV/atom

Entry 22:
! PuTi2Re (PBE, relaxed); values from VASP
&SYSTEM
  ibrav = 0, nat = 4, ntyp = 3
/
ATOMIC_SPECIES
Re 186.21 Re.upf
Ti 47.87 Ti.upf
Pu 244.00 Pu.upf
CELL_PARAMETERS angstrom
3.136 0.000 0.000
0.000 4.652 0.000
0.000 0.000 4.652
ATOMIC_POSITIONS crystal
Re 0.500 0.500 0.500
Ti 0.000 0.000 0.500
Ti 0.000 0.500 0.000
Pu 0.500 0.000 0.000
! Final energy   -10.560 eV/atom
! Space group   P4/mmm
! Energy of formation from the pure elements   82 meV/atom

Entry 23:
! ScTc5W4 (PBE, relaxed); values from VASP
&SYSTEM
  ibrav = 0, nat = 10, ntyp = 3
/
ATOMIC_SPECIES
Sc 44.96 Sc.upf
Tc 98.00 Tc.upf
W 183.84 W.upf
CELL_PARAMETERS angstrom
3.137 0.000 0.000
0.000 3.137 0.000
0.000 0.000 15.978
ATOMIC_POSITIONS crystal
Sc 0.000 0.000 0.000
Tc 0.500 0.500 0.111
Tc 0.500 0.500 0.305
Tc 0.500 0.500 0.500
Tc 0.500 0.500 0.695
Tc 0.500 0.500 0.889
W 0.000 0.000 0.201
W 0.000 0.000 0.401
W 0.000 0.000 0.599
W 0.000 0.000 0.799
! Final energy   -11.086 eV/atom
! Space group   P4/mmm
! Energy of formation from the pure elements   -89 meV/atom

Entry 24:
! Ni2POs (PBE, relaxed); values from VASP
&SYSTEM
  ibrav = 0, nat = 4, ntyp = 3
/
ATOMIC_SPECIES
Ni 58.69 Ni.upf
P 30.97 P.upf
Os 190.23 Os.upf
CELL_PARAMETERS angstrom
2.714 0.000 0.000
0.000 3.670 0.000
0.000 0.000 4.877
ATOMIC_POSITIONS crystal
Ni 0.000 0.000 0.749
Ni 0.000 0.000 0.251
P 0.500 0.500 0.500
Os 0.500 0.500 0.000
! Final energy   -6.962 eV/atom
! Space group   Pmmm
! Energy of formation from the pure elements   89 meV/atom

Entry 25:
! Sr2Sn3Pd2 (PBE, relaxed); values from VASP
&SYSTEM
  ibrav = 0, nat = 14, ntyp = 3
/
ATOMIC_SPECIES
Sr 87.62 Sr.upf
Sn 118.71 Sn.upf
Pd 106.42 Pd.upf
CELL_PARAMETERS angstrom
4.552 0.000 -1.085
0.000 7.723 0.000
0.062 0.000 10.351
ATOMIC_POSITIONS crystal
Sr 0.162 0.250 0.324
Sr 0.838 0.750 0.676
Sr 0.944 0.250 0.889
Sr 0.056 0.750 0.111
Sn 0.223 0.750 0.447
Sn 0.777 0.250 0.553
Sn 0.567 0.436 0.134
Sn 0.433 0.564 0.866
Sn 0.433 0.936 0.866
Sn 0.567 0.064 0.134
Pd 0.698 0.946 0.396
Pd 0.302 0.054 0.604
Pd 0.302 0.446 0.604
Pd 0.698 0.554 0.396
! Final energy   -4.310 eV/atom
! Space group   Cmcm
! Energy of formation from the pure elements   -630 meV/atom